(1)
## Ac2PaNi3Pt12 (PBE)

Data for a geometry-optimized Ac2PaNi3Pt12 structure. Values from VASP.

Quantum ESPRESSO input file:
```
&SYSTEM
  ibrav = 0, nat = 18, ntyp = 4
/
ATOMIC_SPECIES
Ac 227.00 Ac.upf
Pa 231.04 Pa.upf
Ni 58.69 Ni.upf
Pt 195.08 Pt.upf
ATOMIC_POSITIONS crystal
Ac 0.114 0.114 0.114
Ac 0.886 0.886 0.886
Pa 0.500 0.500 0.500
Ni 0.000 0.500 0.500
Ni 0.500 0.000 0.500
Ni 0.500 0.500 0.000
Pt 0.100 0.630 0.630
Pt 0.135 0.135 0.627
Pt 0.135 0.627 0.135
Pt 0.370 0.370 0.900
Pt 0.370 0.900 0.370
Pt 0.373 0.865 0.865
Pt 0.627 0.135 0.135
Pt 0.630 0.100 0.630
Pt 0.630 0.630 0.100
Pt 0.865 0.373 0.865
Pt 0.865 0.865 0.373
Pt 0.900 0.370 0.370
CELL_PARAMETERS angstrom
4.043 2.334 6.833
-4.043 2.334 6.833
0.000 -4.668 6.833
```

Output
* space-group type: R-3m
* E_form: -0.197 eV/atom
* N(E_F): 15.98 states/eV/f.u.

(2)
## Ac2PaNiS5 (PBE)

Data for a geometry-optimized Ac2PaNiS5 structure. Values from VASP.

Quantum ESPRESSO input file:
```
&SYSTEM
  ibrav = 0, nat = 18, ntyp = 4
/
ATOMIC_SPECIES
Ac 227.00 Ac.upf
Pa 231.04 Pa.upf
Ni 58.69 Ni.upf
S 32.06 S.upf
ATOMIC_POSITIONS crystal
Ac 0.119 0.881 0.500
Ac 0.119 0.881 0.854
Ac 0.881 0.119 0.000
Ac 0.881 0.119 0.354
Pa 0.177 0.823 0.177
Pa 0.823 0.177 0.677
Ni 0.438 0.562 0.574
Ni 0.562 0.438 0.074
S 0.022 0.978 0.159
S 0.306 0.694 0.831
S 0.310 0.690 0.525
S 0.340 0.660 0.176
S 0.496 0.504 0.913
S 0.504 0.496 0.413
S 0.660 0.340 0.676
S 0.690 0.310 0.025
S 0.694 0.306 0.331
S 0.978 0.022 0.659
CELL_PARAMETERS angstrom
1.991 -8.384 0.000
1.991 8.384 0.000
0.000 0.000 12.517
```

Output
* space-group type: Cmc2_1
* total energy: -6.6423 eV per atom
* N(E_F): 3.06 states/eV/f.u.

(3)
## Ac2PaNiS6 (PBE)

Data for a geometry-optimized Ac2PaNiS6 structure. Values from VASP.

Quantum ESPRESSO input file:
```
&SYSTEM
  ibrav = 0, nat = 10, ntyp = 4
/
ATOMIC_SPECIES
Ac 227.00 Ac.upf
Pa 231.04 Pa.upf
Ni 58.69 Ni.upf
S 32.06 S.upf
ATOMIC_POSITIONS crystal
Ac 0.333 0.667 0.187
Ac 0.667 0.333 0.813
Pa 0.000 0.000 0.500
Ni 0.000 0.000 0.000
S 0.175 0.349 0.775
S 0.175 0.825 0.775
S 0.349 0.175 0.225
S 0.651 0.825 0.775
S 0.825 0.175 0.225
S 0.825 0.651 0.225
CELL_PARAMETERS angstrom
6.687 0.000 0.000
-3.343 5.791 0.000
0.000 0.000 5.989
```

Output
* space-group type: P-3m1
* total energy: -6.3454 eV per atom
* N(E_F): 3.27 states/eV/f.u.

(4)
## Ac2PaSi2Ni7 (PBE)

Data for a geometry-optimized Ac2PaSi2Ni7 structure. Values from VASP.

Quantum ESPRESSO input file:
```
&SYSTEM
  ibrav = 0, nat = 12, ntyp = 4
/
ATOMIC_SPECIES
Ac 227.00 Ac.upf
Pa 231.04 Pa.upf
Si 28.09 Si.upf
Ni 58.69 Ni.upf
ATOMIC_POSITIONS crystal
Ac 0.078 0.078 0.352
Ac 0.922 0.922 0.648
Pa 0.000 0.000 0.000
Si 0.446 0.446 0.772
Si 0.554 0.554 0.228
Ni 0.035 0.527 0.139
Ni 0.426 0.426 0.584
Ni 0.473 0.965 0.861
Ni 0.500 0.500 0.000
Ni 0.527 0.035 0.139
Ni 0.574 0.574 0.416
Ni 0.965 0.473 0.861
CELL_PARAMETERS angstrom
2.891 -2.864 0.000
2.891 2.864 0.000
-1.244 0.000 12.642
```

Output
* space-group type: C2/m
* total energy: -6.2378 eV per atom
* N(E_F): 4.21 states/eV/f.u.

(5)
## AcPaSi2Ni2 (PBE)

Data for a geometry-optimized AcPaSi2Ni2 structure. Values from VASP.

Quantum ESPRESSO input file:
```
&SYSTEM
  ibrav = 0, nat = 6, ntyp = 4
/
ATOMIC_SPECIES
Ac 227.00 Ac.upf
Pa 231.04 Pa.upf
Si 28.09 Si.upf
Ni 58.69 Ni.upf
ATOMIC_POSITIONS crystal
Ac 0.000 0.000 0.000
Pa 0.000 0.000 0.500
Si 0.333 0.667 0.718
Si 0.667 0.333 0.282
Ni 0.333 0.667 0.290
Ni 0.667 0.333 0.710
CELL_PARAMETERS angstrom
4.160 0.000 0.000
-2.080 3.602 0.000
0.000 0.000 7.976
```

Output
* space-group type: P-3m1
* total energy: -6.6964 eV per atom
* N(E_F): 2.19 states/eV/f.u.

(6)
## Ac4NiPb2 (PBE)

Data for a geometry-optimized Ac4NiPb2 structure. Values from VASP.

Quantum ESPRESSO input file:
```
&SYSTEM
  ibrav = 0, nat = 7, ntyp = 3
/
ATOMIC_SPECIES
Ac 227.00 Ac.upf
Ni 58.69 Ni.upf
Pb 207.20 Pb.upf
ATOMIC_POSITIONS crystal
Ac 0.000 0.500 0.500
Ac 0.176 0.176 0.000
Ac 0.500 0.000 0.500
Ac 0.824 0.824 0.000
Ni 0.000 0.000 0.000
Pb 0.362 0.362 0.000
Pb 0.638 0.638 0.000
CELL_PARAMETERS angstrom
-2.679 2.679 9.136
2.679 -2.679 9.136
2.679 2.679 -9.136
```

Output
* space-group type: I4/mmm
* E_form: -0.373 eV/atom
* N(E_F): 5.08 states/eV/f.u.
* energy above the lowest structure with this stoichiometry: 0.00 eV/f.u.

(7)
## Ac12NiPb6 (PBE)

Data for a geometry-optimized Ac12NiPb6 structure. Values from VASP.

Quantum ESPRESSO input file:
```
&SYSTEM
  ibrav = 0, nat = 19, ntyp = 3
/
ATOMIC_SPECIES
Ac 227.00 Ac.upf
Ni 58.69 Ni.upf
Pb 207.20 Pb.upf
ATOMIC_POSITIONS crystal
Ac 0.045 0.922 0.694
Ac 0.078 0.306 0.955
Ac 0.195 0.419 0.551
Ac 0.306 0.955 0.078
Ac 0.419 0.551 0.195
Ac 0.449 0.805 0.581
Ac 0.551 0.195 0.419
Ac 0.581 0.449 0.805
Ac 0.694 0.045 0.922
Ac 0.805 0.581 0.449
Ac 0.922 0.694 0.045
Ac 0.955 0.078 0.306
Ni 0.000 0.000 0.000
Pb 0.139 0.743 0.362
Pb 0.257 0.638 0.861
Pb 0.362 0.139 0.743
Pb 0.638 0.861 0.257
Pb 0.743 0.362 0.139
Pb 0.861 0.257 0.638
CELL_PARAMETERS angstrom
6.620 3.822 5.114
-6.620 3.822 5.114
0.000 -7.644 5.114
```

Output
* space-group type: R-3
* E_form: -0.336 eV/atom
* N(E_F): 23.91 states/eV/f.u.

(8)
## Ac5Ni2Pb5 (PBE)

Data for a geometry-optimized Ac5Ni2Pb5 structure. Values from VASP.

Quantum ESPRESSO input file:
```
&SYSTEM
  ibrav = 0, nat = 12, ntyp = 3
/
ATOMIC_SPECIES
Ac 227.00 Ac.upf
Ni 58.69 Ni.upf
Pb 207.20 Pb.upf
ATOMIC_POSITIONS crystal
Ac 0.000 0.000 0.000
Ac 0.121 0.121 0.422
Ac 0.197 0.197 0.820
Ac 0.803 0.803 0.180
Ac 0.879 0.879 0.578
Ni 0.359 0.359 0.742
Ni 0.641 0.641 0.258
Pb 0.245 0.245 0.304
Pb 0.445 0.445 0.159
Pb 0.500 0.500 0.500
Pb 0.555 0.555 0.841
Pb 0.755 0.755 0.696
CELL_PARAMETERS angstrom
8.735 -2.350 0.000
8.735 2.350 0.000
-8.391 0.000 9.499
```

Output
* space-group type: C2/m
* E_form: -0.431 eV/atom
* N(E_F): 6.53 states/eV/f.u.

(9)
## Ac2NiPb (PBE)

Data for a geometry-optimized Ac2NiPb structure. Values from VASP.

Quantum ESPRESSO input file:
```
&SYSTEM
  ibrav = 0, nat = 4, ntyp = 3
/
ATOMIC_SPECIES
Ac 227.00 Ac.upf
Ni 58.69 Ni.upf
Pb 207.20 Pb.upf
ATOMIC_POSITIONS crystal
Ac 0.000 0.000 0.206
Ac 0.000 0.000 0.794
Ni 0.500 0.500 0.000
Pb 0.500 0.500 0.500
CELL_PARAMETERS angstrom
3.744 0.000 0.000
0.000 3.744 0.000
0.000 0.000 8.667
```

Output
* space-group type: P4/mmm
* E_form: -0.290 eV/atom
* N(E_F): 3.98 states/eV/f.u.

(10)
## Ac2NiPb3 (PBE)

Data for a geometry-optimized Ac2NiPb3 structure. Values from VASP.

Quantum ESPRESSO input file:
```
&SYSTEM
  ibrav = 0, nat = 6, ntyp = 3
/
ATOMIC_SPECIES
Ac 227.00 Ac.upf
Ni 58.69 Ni.upf
Pb 207.20 Pb.upf
ATOMIC_POSITIONS crystal
Ac 0.000 0.000 0.000
Ac 0.000 0.500 0.477
Ni 0.500 0.000 0.271
Pb 0.500 0.000 0.588
Pb 0.500 0.500 0.177
Pb 0.500 0.500 0.811
CELL_PARAMETERS angstrom
4.688 0.000 0.000
0.000 4.877 0.000
0.000 0.000 8.324
```

Output
* space-group type: Pmm2
* E_form: -0.339 eV/atom
* N(E_F): 3.21 states/eV/f.u.
* energy above the lowest structure with this stoichiometry: 0.06 eV/f.u.

(11)
## AcNiPb (PBE)

Data for a geometry-optimized AcNiPb structure. Values from VASP.

Quantum ESPRESSO input file:
```
&SYSTEM
  ibrav = 0, nat = 3, ntyp = 3
/
ATOMIC_SPECIES
Ac 227.00 Ac.upf
Ni 58.69 Ni.upf
Pb 207.20 Pb.upf
ATOMIC_POSITIONS crystal
Ac 0.000 0.000 0.000
Ni 0.250 0.250 0.250
Pb 0.500 0.500 0.500
CELL_PARAMETERS angstrom
0.000 3.472 3.472
3.472 0.000 3.472
3.472 3.472 0.000
```

Output
* space-group type: F-43m
* E_form: -0.291 eV/atom
* N(E_F): 6.17 states/eV/f.u.
* energy above the lowest structure with this stoichiometry: 0.25 eV/f.u.

(12)
## Ac2NiPb3 (PBE)

Data for a geometry-optimized Ac2NiPb3 structure. Values from VASP.

Quantum ESPRESSO input file:
```
&SYSTEM
  ibrav = 0, nat = 6, ntyp = 3
/
ATOMIC_SPECIES
Ac 227.00 Ac.upf
Ni 58.69 Ni.upf
Pb 207.20 Pb.upf
ATOMIC_POSITIONS crystal
Ac 0.000 0.000 0.000
Ac 0.122 0.122 0.589
Ni 0.363 0.363 0.537
Pb 0.381 0.381 0.203
Pb 0.655 0.655 0.907
Pb 0.752 0.752 0.417
CELL_PARAMETERS angstrom
6.047 -2.474 0.000
6.047 2.474 0.000
-5.288 0.000 6.037
```

Output
* space-group type: Cm
* E_form: -0.349 eV/atom
* N(E_F): 3.17 states/eV/f.u.
* energy above the lowest structure with this stoichiometry: 0.00 eV/f.u.